# ZrHgSb2Te PBE relaxed
# - Magnetization: 0.0 μB per formula unit
# - Distance to the lowest polymorph of the same formula: 0.806 eV per atom
data_ZrHgSb2Te
_chemical_formula_sum 'Zr1 Hg1 Sb2 Te1'
_cell_length_a 5.4238
_cell_length_b 5.4238
_cell_length_c 5.4873
_cell_angle_alpha 90.00
_cell_angle_beta 90.00
_cell_angle_gamma 90.00
_symmetry_space_group_name_H-M 'P 4/m m m'
_symmetry_Int_Tables_number 123
_symmetry_space_group_name_Hall '-P 4 2'
loop_
_atom_site_label
_atom_site_type_symbol
_atom_site_fract_x
_atom_site_fract_y
_atom_site_fract_z
_atom_site_occupancy
Zr1 Zr 0.0000 0.0000 0.0000 1
Hg1 Hg 0.5000 0.5000 0.5000 1
Sb1 Sb 0.0000 0.5000 0.5000 1
Te1 Te 0.5000 0.5000 0.0000 1